A plane-wave DFT calculation with PBE was carried out for a relaxed structure of La3AgPt8.

Properties
Calculated density   14691 kg/m³
Symmetry   R3m
Formation energy   -953 meV/atom
Final energy   -77.4 eV/cell
Total magnetic moment   0.0 μB/f.u.

Cell: 5.496 5.496 9.553 Å, 73.28 73.28 60.00°
Positions (direct):
La (0.377, 0.377, 0.868)
La (0.991, 0.991, 0.028)
La (0.507, 0.507, 0.479)
Ag (0.870, 0.870, 0.389)
Pt (0.940, 0.437, 0.186)
Pt (0.439, 0.938, 0.686)
Pt (0.437, 0.437, 0.186)
Pt (0.938, 0.938, 0.686)
Pt (0.188, 0.188, 0.435)
Pt (0.688, 0.688, 0.936)
Pt (0.437, 0.940, 0.186)
Pt (0.938, 0.439, 0.686)

A plane-wave DFT calculation with PBE was carried out for a relaxed structure of ZrBe2Ru.

Properties
Calculated density   6783 kg/m³
Symmetry   Amm2
Formation energy   -358 meV/atom
Excess energy over the best structure of this formula in the dataset   0.000 eV/atom
Final energy   -26.7 eV/cell
Total magnetic moment   0.0 μB/f.u.

Cell: 3.390 3.179 5.035 Å, 71.60 90.00 90.00°
Positions (direct):
Ru (0.000, 0.481, 0.412)
Zr (0.500, 0.788, 0.799)
Be (0.000, 0.173, 0.029)
Be (0.500, 0.058, 0.260)

A plane-wave DFT calculation with PBE was carried out for a relaxed structure of ScBe3P.

Properties
Calculated density   2426 kg/m³
Symmetry   Pm-3m
Formation energy   432 meV/atom
Excess energy over the best structure of this formula in the dataset   0.000 eV/atom
Final energy   -20.8 eV/cell
Total magnetic moment   0.0 μB/f.u.

Cell: 4.131 4.131 4.131 Å, 90.00 90.00 90.00°
Positions (direct):
Sc (0.500, 0.500, 0.500)
P (0.000, 0.000, 0.000)
Be (0.000, 0.500, 0.000)
Be (0.000, 0.000, 0.500)
Be (0.500, 0.000, 0.000)

A plane-wave DFT calculation with PBE was carried out for a relaxed structure of Sc2SnClF.

Properties
Calculated density   3535 kg/m³
Symmetry   P4/mmm
Formation energy without anion corrections   -0.21 eV/atom
Final energy   -21.4 eV/cell
Total magnetic moment   1.1 μB/f.u.

Cell: 4.842 5.270 4.842 Å, 90.00 90.00 90.00°
Site moments in Bohr magnetons follow the coordinates.
Positions (direct):
Sc (0.000, 0.000, 0.500)  0.35
Sc (0.500, 0.000, 0.000)  0.29
F (0.500, 0.500, 0.500)  0.04
Sn (0.000, 0.500, 0.000)  -0.01
Cl (0.000, 0.000, 0.000)  -0.01

A plane-wave DFT calculation with PBE was carried out for a relaxed structure of DyHo2S3.

Properties
Calculated density   7827 kg/m³
Symmetry   Immm
Formation energy without anion corrections   -1.98 eV/atom
Final energy   -38.0 eV/cell
Total magnetic moment   0.0 μB/f.u.

Cell: 3.901 5.492 6.731 Å, 114.08 106.84 90.00°
Positions (direct):
Dy (0.500, 0.000, 0.000)
Ho (0.166, 0.666, 0.332)
Ho (0.834, 0.334, 0.668)
S (0.500, 0.500, 0.000)
S (0.168, 0.168, 0.336)
S (0.832, 0.832, 0.664)

A plane-wave DFT calculation with PBE was carried out for a relaxed structure of Rb2GaBr3.

Properties
Calculated density   3226 kg/m³
Symmetry   P2_1/c
Excess energy over the best structure of this formula in the dataset   0.000 eV/atom
Formation energy without anion corrections   -1.34 eV/atom
Final energy   -72.1 eV/cell
Total magnetic moment   0.0 μB/f.u.

Cell: 6.961 9.794 14.511 Å, 90.00 90.00 89.24°
Positions (direct):
Rb (0.244, 0.887, 0.751)
Rb (0.244, 0.387, 0.749)
Rb (0.253, 0.866, 0.416)
Rb (0.253, 0.366, 0.084)
Rb (0.747, 0.634, 0.916)
Rb (0.747, 0.134, 0.584)
Rb (0.756, 0.613, 0.251)
Rb (0.756, 0.113, 0.249)
Ga (0.230, 0.851, 0.082)
Ga (0.230, 0.351, 0.418)
Ga (0.770, 0.649, 0.582)
Ga (0.770, 0.149, 0.918)
Br (0.171, 0.637, 0.588)
Br (0.171, 0.137, 0.912)
Br (0.247, 0.642, 0.927)
Br (0.247, 0.142, 0.573)
Br (0.256, 0.645, 0.229)
Br (0.256, 0.145, 0.271)
Br (0.744, 0.855, 0.729)
Br (0.744, 0.355, 0.771)
Br (0.753, 0.858, 0.427)
Br (0.753, 0.358, 0.073)
Br (0.829, 0.863, 0.088)
Br (0.829, 0.363, 0.412)